No. 1
Material: BeCoP2
Method: DFT, PBE
State: optimized geometry

Cell lengths 5.025, 5.025, 6.046 Å; angles 65.44, 65.44, 90.00 degrees
Sites, in units of the cell vectors:
P 0.628 0.125 0.250
P 0.122 0.625 0.250
P 0.375 0.372 0.750
P 0.875 0.878 0.750
Co 0.000 0.000 0.000
Co 0.750 0.250 0.500
Be 0.500 0.500 0.000
Be 0.250 0.750 0.500

Values from the calculation:
Formation energy from the elements (eV/atom): -0.034
DFT total energy (eV per cell): -43.58
Mass density (kg/m³): 3492


No. 2
Material: Ga2FeAu2
Method: DFT, PBE
State: optimized geometry

Cell lengths 6.978, 6.978, 3.453 Å; angles 90.00, 90.00, 90.00 degrees
Each line ends with the local moment (μB).
Sites, in units of the cell vectors:
Au 0.158 0.658 0.500  -0.03
Au 0.658 0.842 0.500  -0.03
Au 0.842 0.342 0.500  -0.03
Au 0.342 0.158 0.500  -0.03
Fe 0.000 0.000 0.000  2.68
Fe 0.500 0.500 0.000  2.68
Ga 0.353 0.853 0.000  -0.05
Ga 0.853 0.647 0.000  -0.05
Ga 0.647 0.147 0.000  -0.05
Ga 0.147 0.353 0.000  -0.05

Values from the calculation:
ΔE to the lowest computed polymorph (meV per atom): 0
Formation energy from the elements (eV/atom): 0.134
DFT total energy (eV per cell): -40.80
Mass density (kg/m³): 11636


No. 3
Material: Tm2TcSe
Method: DFT, PBE
State: optimized geometry

Cell lengths 3.504, 3.504, 6.847 Å; angles 90.00, 90.00, 90.00 degrees
Sites, in units of the cell vectors:
Tm 0.000 0.000 0.764
Tm 0.000 0.000 0.236
Tc 0.500 0.500 0.000
Se 0.500 0.500 0.500

Values from the calculation:
ΔE to the lowest computed polymorph (meV per atom): 0
DFT total energy (eV per cell): -25.74
Mass density (kg/m³): 10171


No. 4
Material: TmMgNi5Ge2
Method: DFT, PBE
State: optimized geometry

Cell lengths 3.926, 3.926, 8.636 Å; angles 90.00, 90.00, 90.00 degrees
Sites, in units of the cell vectors:
Tm 0.000 0.000 0.500
Mg 0.000 0.000 0.000
Ni 0.000 0.500 0.282
Ni 0.500 0.000 0.282
Ni 0.000 0.500 0.718
Ni 0.500 0.000 0.718
Ni 0.500 0.500 0.500
Ge 0.500 0.500 0.141
Ge 0.500 0.500 0.859

Values from the calculation:
Formation energy from the elements (eV/atom): -0.301
DFT total energy (eV per cell): -46.91
Mass density (kg/m³): 7886


No. 5
Material: TbThAl3
Method: DFT, PBE
State: optimized geometry

Cell lengths 4.329, 4.249, 13.439 Å; angles 99.09, 90.00, 90.00 degrees
Each line ends with the local moment (μB).
Sites, in units of the cell vectors:
Tb 0.250 0.795 0.589  0.14
Tb 0.750 0.205 0.411  0.14
Th 0.250 0.072 0.145  0.01
Th 0.750 0.928 0.855  0.01
Al 0.250 0.380 0.760  0.00
Al 0.750 0.620 0.240  0.00
Al 0.250 0.476 0.951  0.00
Al 0.750 0.524 0.049  0.00
Al 0.750 0.326 0.652  0.00
Al 0.250 0.674 0.348  0.00

Values from the calculation:
Formation energy from the elements (eV/atom): -0.422
DFT total energy (eV per cell): -50.77
Mass density (kg/m³): 6422


No. 6
Material: Pm2BeCo3Ge4
Method: DFT, PBE
State: optimized geometry

Cell lengths 4.100, 4.100, 9.747 Å; angles 90.00, 90.00, 90.00 degrees
Each line ends with the local moment (μB).
Sites, in units of the cell vectors:
Pm 0.500 0.000 0.249  0.00
Pm 0.000 0.500 0.751  0.00
Be 0.500 0.500 0.500  0.01
Co 0.000 0.000 0.500  0.55
Co 0.500 0.000 0.876  0.00
Co 0.000 0.500 0.124  0.00
Ge 0.500 0.500 0.000  0.00
Ge 0.000 0.000 0.000  0.00
Ge 0.500 0.000 0.633  0.00
Ge 0.000 0.500 0.367  0.00

Values from the calculation:
Formation energy from the elements (eV/atom): -0.511
DFT total energy (eV per cell): -58.13
Mass density (kg/m³): 7769


No. 7
Material: PuAgSn2
Method: DFT, PBE
State: optimized geometry

Cell lengths 3.624, 3.624, 7.361 Å; angles 90.00, 90.00, 90.00 degrees
Each line ends with the local moment (μB).
Sites, in units of the cell vectors:
Sn 0.000 0.000 0.785  -0.01
Sn 0.000 0.000 0.215  -0.01
Ag 0.500 0.500 0.000  0.01
Pu 0.500 0.500 0.500  5.58

Values from the calculation:
Formation energy from the elements (eV/atom): -0.114
DFT total energy (eV per cell): -25.64
Mass density (kg/m³): 10120


No. 8
Material: Dy3Pu2N4
Method: DFT, PBE
State: optimized geometry

Cell lengths 3.433, 6.025, 7.901 Å; angles 74.73, 77.45, 73.45 degrees
Each line ends with the local moment (μB).
Sites, in units of the cell vectors:
Dy 0.000 0.000 0.000  0.10
Dy 0.208 0.397 0.187  0.21
Dy 0.792 0.603 0.813  0.21
Pu 0.601 0.191 0.607  5.21
Pu 0.399 0.809 0.393  5.21
N 0.806 0.084 0.304  -0.12
N 0.194 0.916 0.696  -0.12
N 0.396 0.306 0.903  -0.04
N 0.604 0.694 0.097  -0.04

Values from the calculation:
DFT total energy (eV per cell): -87.62
Mass density (kg/m³): 11469


> Among the records above, which one has the highest DFT total energy?

PuAgSn2